The following is a GGA-PBE calculation of an optimized crystal structure of NaAsIBr2, from Alexandria via LeMat-Bulk.

```
5
Lattice="-5.6962 2.9110 -0.3251 -2.5704 -5.3087 -2.4973 -1.1404 -1.6974 4.7820" Properties=species:S:1:pos:R:3 pbc="T T T"
I 0.0000 0.0000 0.0000
Na -4.7035 -2.0475 0.9798
As -0.5702 -0.8487 2.3910
Br -1.2852 -2.6543 -1.2487
Br -2.8481 1.4555 -0.1626
```

- formation energy without anion corrections (eV per atom) = 0.086



The following is a GGA-PBE calculation of an optimized crystal structure of HoTmMnAg, from Alexandria via LeMat-Bulk.

```
4
Lattice="-3.3792 -3.7465 -0.0254 1.3432 -4.6190 1.5218 -1.7660 -1.8339 4.3559" Properties=species:S:1:pos:R:3 pbc="T T T"
Mn 0.0000 0.0000 0.0000
Tm -0.9505 -2.5499 1.4631
Ho -2.8515 -7.6496 4.3892
Ag -1.9010 -5.0997 2.9261
```

- calculated formation energy (eV/f.u.) = -0.1



The following is a GGA-PBE calculation of an optimized crystal structure of PuCuNiRh, from Alexandria via LeMat-Bulk.

```
4
Lattice="4.4786 0.0000 0.0000 2.2393 3.8786 0.0000 2.2393 1.2929 3.6568" Properties=species:S:1:pos:R:3 pbc="T T T"
Ni 4.4786 2.5857 1.8284
Rh 0.0000 0.0000 0.0000
Cu 2.2393 1.2929 0.9142
Pu 6.7179 3.8786 2.7426
```

- calculated formation energy (eV/f.u.) = -0.5



The following is a GGA-PBE calculation of an optimized crystal structure of SrTmHg4, from Alexandria via LeMat-Bulk.

```
6
Lattice="-1.2605 -1.1826 4.0741 -2.8539 -2.9083 -1.7271 6.7765 -6.7340 0.1419" Properties=species:S:1:pos:R:3 pbc="T T T"
Sr 0.0000 0.0000 0.0000
Tm 1.3311 -5.4124 1.2445
Hg 4.2883 -5.4789 2.1401
Hg 3.4916 -6.3418 -0.7605
Hg 1.2277 -2.4376 2.0760
Hg 0.4311 -3.3005 -0.8246
```

- calculated formation energy (eV/f.u.) = -1.3



Taking the records one at a time from the top gives M_tot values of 0.00; 3.50; 4.76; 0.00 μB per formula unit.